No. 1
Here is an optimized crystal structure of Na5PS4F2 from Alexandria via LeMat-Bulk. Energies are from PBE-GGA.

Cell: 7.364 6.228 6.228 Å, 119.84 90.00 90.00°
Atoms (fractional coordinates):
Na 0.000 0.000 0.000
Na 0.219 0.398 0.821
Na 0.219 0.821 0.398
Na 0.781 0.398 0.821
Na 0.781 0.821 0.398
P 0.500 0.125 0.125
S 0.268 0.312 0.312
S 0.500 0.082 0.776
S 0.500 0.776 0.082
S 0.732 0.312 0.312
F 0.000 0.062 0.674
F 0.000 0.674 0.062

Summary:
- formation energy without anion corrections (meV/atom) = -1472
- N(E_F) (states/eV per cell) = 0.00

---

No. 2
Here is an optimized crystal structure of SrTa2Au from Alexandria via LeMat-Bulk. Energies are from PBE-GGA.

Cell: 5.090 5.090 3.170 Å, 90.00 90.00 90.00°
Atoms (fractional coordinates):
Sr 0.000 0.000 0.000
Ta 0.000 0.500 0.500
Ta 0.500 0.000 0.500
Au 0.500 0.500 0.000

Summary:
- energy above the most stable polymorph in this dataset (eV per atom) = 0.8175
- N(E_F) (states/eV per cell) = 3.56
- DFT formation energy (eV per atom) = 1.038

---

No. 3
Here is an optimized crystal structure of PrHoHg from Alexandria via LeMat-Bulk. Energies are from PBE-GGA.

Cell: 3.701 3.701 12.901 Å, 90.00 90.00 90.00°
Atoms (fractional coordinates):
Pr 0.000 0.000 0.000
Pr 0.500 0.500 0.500
Ho 0.000 0.000 0.307
Ho 0.500 0.500 0.807
Hg 0.000 0.000 0.670
Hg 0.500 0.500 0.170

Summary:
- energy above the most stable polymorph in this dataset (eV per atom) = 0.0040
- N(E_F) (states/eV per cell) = 7.10
- DFT formation energy (eV per atom) = -0.304

---

No. 4
Here is an optimized crystal structure of Ca3RhW from Alexandria via LeMat-Bulk. Energies are from PBE-GGA.

Cell: 5.359 5.359 5.359 Å, 90.00 90.00 90.00°
Atoms (fractional coordinates):
Ca 0.000 0.000 0.500
Ca 0.000 0.500 0.000
Ca 0.500 0.000 0.000
Rh 0.500 0.500 0.500
W 0.000 0.000 0.000

Summary:
- energy above the most stable polymorph in this dataset (eV per atom) = 0.5994
- N(E_F) (states/eV per cell) = 7.51
- DFT formation energy (eV per atom) = 1.439

---

No. 5
Here is an optimized crystal structure of Ba6Hg5Pb from Alexandria via LeMat-Bulk. Energies are from PBE-GGA.

Cell: 10.345 10.345 5.962 Å, 106.70 106.70 48.59°
Atoms (fractional coordinates):
Ba 0.082 0.584 0.333
Ba 0.247 0.753 0.000
Ba 0.416 0.918 0.667
Ba 0.584 0.082 0.333
Ba 0.753 0.247 0.000
Ba 0.918 0.416 0.667
Hg 0.000 0.000 0.500
Hg 0.166 0.166 0.167
Hg 0.334 0.334 0.834
Hg 0.666 0.666 0.166
Hg 0.834 0.834 0.833
Pb 0.500 0.500 0.500

Summary:
- N(E_F) (states/eV per cell) = 7.71
- DFT formation energy (eV per atom) = -0.539

---

No. 6
Here is an optimized crystal structure of Tb7Ho3Cd from Alexandria via LeMat-Bulk. Energies are from PBE-GGA.

Cell: 6.951 6.951 8.513 Å, 90.00 90.00 120.00°
Atoms (fractional coordinates):
Tb 0.000 0.000 0.000
Tb 0.164 0.327 0.666
Tb 0.164 0.836 0.666
Tb 0.501 0.002 0.994
Tb 0.501 0.499 0.994
Tb 0.673 0.836 0.666
Tb 0.998 0.499 0.994
Ho 0.330 0.165 0.330
Ho 0.835 0.165 0.330
Ho 0.835 0.670 0.330
Cd 0.667 0.333 0.664

Summary:
- N(E_F) (states/eV per cell) = 15.55
- DFT formation energy (eV per atom) = 0.162

---

No. 7
Here is an optimized crystal structure of Tm2Cd6Ag3 from Alexandria via LeMat-Bulk. Energies are from PBE-GGA.

Cell: 7.952 7.952 4.665 Å, 90.00 90.00 120.00°
Atoms (fractional coordinates):
Tm 0.333 0.667 0.000
Tm 0.667 0.333 0.000
Cd 0.000 0.249 0.500
Cd 0.000 0.783 0.000
Cd 0.217 0.217 0.000
Cd 0.249 0.000 0.500
Cd 0.751 0.751 0.500
Cd 0.783 0.000 0.000
Ag 0.000 0.585 0.500
Ag 0.415 0.415 0.500
Ag 0.585 0.000 0.500

Summary:
- N(E_F) (states/eV per cell) = 6.52
- DFT formation energy (eV per atom) = -0.065

---

No. 8
Here is an optimized crystal structure of CoPb4Br from Alexandria via LeMat-Bulk. Energies are from PBE-GGA.

Cell: 6.415 6.415 6.415 Å, 60.00 60.00 60.00°
Atoms (fractional coordinates):
Co 0.000 0.000 0.000
Pb 0.122 0.626 0.626
Pb 0.626 0.122 0.626
Pb 0.626 0.626 0.122
Pb 0.626 0.626 0.626
Br 0.250 0.250 0.250

Summary:
- formation energy without anion corrections (meV/atom) = 602
- N(E_F) (states/eV per cell) = 7.89

---

No. 9
Here is an optimized crystal structure of PmSmIn from Alexandria via LeMat-Bulk. Energies are from PBE-GGA.

Cell: 7.483 7.483 7.483 Å, 90.00 90.00 90.00°
Atoms (fractional coordinates):
Pm 0.000 0.000 0.000
Pm 0.000 0.500 0.500
Pm 0.500 0.000 0.500
Pm 0.500 0.500 0.000
Sm 0.000 0.000 0.500
Sm 0.000 0.500 0.000
Sm 0.500 0.000 0.000
Sm 0.500 0.500 0.500
In 0.250 0.250 0.250
In 0.250 0.750 0.750
In 0.750 0.250 0.750
In 0.750 0.750 0.250

Summary:
- energy above the most stable polymorph in this dataset (eV per atom) = 0.2442
- N(E_F) (states/eV per cell) = 20.29
- DFT formation energy (eV per atom) = -0.100

---

No. 10
Here is an optimized crystal structure of KAsPtRh from Alexandria via LeMat-Bulk. Energies are from PBE-GGA.

Cell: 3.878 3.878 12.547 Å, 90.00 90.00 90.00°
Atoms (fractional coordinates):
K 0.250 0.250 0.213
K 0.750 0.750 0.787
As 0.250 0.250 0.617
As 0.750 0.750 0.383
Pt 0.250 0.750 0.000
Pt 0.750 0.250 0.000
Rh 0.250 0.750 0.500
Rh 0.750 0.250 0.500

Summary:
- N(E_F) (states/eV per cell) = 4.63
- DFT formation energy (eV per atom) = -0.323

---

No. 11
Here is an optimized crystal structure of CsLiLaBr from Alexandria via LeMat-Bulk. Energies are from PBE-GGA.

Cell: 3.868 3.868 9.782 Å, 90.00 90.00 90.00°
Atoms (fractional coordinates):
Cs 0.000 0.000 0.000
Li 0.500 0.500 0.690
La 0.000 0.000 0.467
Br 0.500 0.500 0.261

Summary:
- energy above the most stable polymorph in this dataset (eV per atom) = 0.0362
- formation energy without anion corrections (meV/atom) = -481
- N(E_F) (states/eV per cell) = 4.64

---

No. 12
Here is an optimized crystal structure of Cd4In3Hg from Alexandria via LeMat-Bulk. Energies are from PBE-GGA.

Cell: 3.338 6.526 9.094 Å, 88.75 87.79 89.24°
Atoms (fractional coordinates):
Cd 0.006 0.250 0.248
Cd 0.007 0.756 0.247
Cd 0.993 0.244 0.753
Cd 0.994 0.750 0.752
In 0.500 0.000 0.500
In 0.500 0.500 0.000
In 0.500 0.500 0.500
Hg 0.500 0.000 0.000

Summary:
- energy above the most stable polymorph in this dataset (eV per atom) = 0.0000
- N(E_F) (states/eV per cell) = 2.23
- DFT formation energy (eV per atom) = 0.026

---

> What is the N(E_F) in the eleventh record?

4.64 states/eV per cell

---

Please write out number 6 again, unchanged.
Here is an optimized crystal structure of Tb7Ho3Cd from Alexandria via LeMat-Bulk. Energies are from PBE-GGA.

Cell: 6.951 6.951 8.513 Å, 90.00 90.00 120.00°
Atoms (fractional coordinates):
Tb 0.000 0.000 0.000
Tb 0.164 0.327 0.666
Tb 0.164 0.836 0.666
Tb 0.501 0.002 0.994
Tb 0.501 0.499 0.994
Tb 0.673 0.836 0.666
Tb 0.998 0.499 0.994
Ho 0.330 0.165 0.330
Ho 0.835 0.165 0.330
Ho 0.835 0.670 0.330
Cd 0.667 0.333 0.664

Summary:
- N(E_F) (states/eV per cell) = 15.55
- DFT formation energy (eV per atom) = 0.162

---

> What is the N(E_F) in the fifth record?

7.71 states/eV per cell

---

> What is the formula in the tenth record?

KAsPtRh